Zn5RuAu2: optimized geometry, PBE.

a = 3.993 Å, b = 3.993 Å, c = 8.118 Å
α = 104.24°, β = 104.24°, γ = 90.00°
Sites, in units of the cell vectors:
1 Zn 0.617 0.117 0.235
2 Zn 0.883 0.383 0.765
3 Zn 0.383 0.883 0.765
4 Zn 0.500 0.500 0.000
5 Zn 0.117 0.617 0.235
6 Au 0.238 0.238 0.475
7 Au 0.762 0.762 0.525
8 Ru 0.000 0.000 0.000

Calculated values
V: 15.168 Å³ per atom
Total moment: 0.0 μB/cell

ZnRu3Au: optimized geometry, PBE.

a = 4.537 Å, b = 4.537 Å, c = 4.537 Å
α = 90.00°, β = 90.00°, γ = 90.00°
Last column: magnetic moment on the atom in μB.
Sites, in units of the cell vectors:
1 Ru 0.000 0.000 0.500  2.05
2 Ru 0.000 0.500 0.000  1.76
3 Ru 0.500 0.000 0.000  1.45
4 Zn 0.000 0.000 0.000  0.02
5 Au 0.500 0.500 0.500  0.09

Calculated values
Polymorph energy (0 for the lowest one): 0 meV/atom
V: 18.672 Å³ per atom
Total moment: 5.4 μB/cell

ZnRuAu2: optimized geometry, PBE.

a = 3.958 Å, b = 3.961 Å, c = 4.100 Å
α = 90.00°, β = 90.00°, γ = 90.00°
Sites, in units of the cell vectors:
1 Zn 0.000 0.500 0.500
2 Au 0.500 0.500 0.000
3 Au 0.000 0.000 0.000
4 Ru 0.500 0.000 0.500

Calculated values
V: 16.072 Å³ per atom
Total moment: 0.0 μB/cell

ZnRuAu2: optimized geometry, PBE.

a = 6.292 Å, b = 4.969 Å, c = 2.784 Å
α = 89.98°, β = 63.78°, γ = 120.62°
Last column: magnetic moment on the atom in μB.
Sites, in units of the cell vectors:
1 Zn 0.500 0.500 0.000  0.00
2 Au 0.500 0.000 0.500  0.00
3 Au 0.000 0.000 0.000  0.00
4 Ru 0.000 0.500 0.500  0.44

Calculated values
V: 16.069 Å³ per atom
Total moment: 0.4 μB/cell

| no. | energy of formation (meV/atom) |
| --- | --- |
| 1 | -152.3 |
| 2 | 1569.4 |
| 3 | 141.4 |
| 4 | 137.9 |